The following is a PBE+U calculation of crystalline CaVSeO6 at its relaxed geometry, from Alexandria via LeMat-Bulk. Values from VASP.

```
&SYSTEM
  ibrav = 0, nat = 18, ntyp = 4
/
ATOMIC_SPECIES
Ca 40.08 Ca.upf
V 50.94 V.upf
Se 78.96 Se.upf
O 16.00 O.upf
ATOMIC_POSITIONS angstrom
Ca 0.000 0.000 0.000
Ca 0.000 0.000 5.055
V 2.518 1.454 2.527
V 0.000 2.908 7.582
Se 0.000 2.908 2.527
Se 2.518 1.454 7.582
O 1.490 2.739 1.477
O -0.891 1.702 1.477
O 1.919 0.079 6.532
O 3.409 2.660 8.633
O 0.891 1.702 3.578
O -1.490 2.739 3.578
O 3.117 0.079 8.633
O 0.599 4.283 3.578
O 4.008 1.623 6.532
O -0.599 4.283 1.477
O 1.627 2.660 6.532
O 1.028 1.623 8.633
CELL_PARAMETERS angstrom
5.036 0.000 0.000
-2.518 4.362 0.000
0.000 0.000 10.110
```

Computed properties:
- symmetry = P-31c, No. 163
- VASP energy (eV per atom) = -6.449